Computed, not measured: an optimized crystal structure of TcIrRh6 at the GGA-PBE level of DFT.

extended XYZ file:
```
8
Lattice="5.124 0.321 0.363 -0.240 5.129 0.363 -0.240 -0.268 5.135" Properties=species:S:1:pos:R:3 pbc="T T T"
Rh 0.670 2.873 1.108
Rh 2.783 0.979 1.108
Tc 0.000 0.000 0.000
Ir 2.322 2.591 2.931
Rh 3.974 4.435 2.874
Rh 3.974 2.309 4.753
Rh 0.670 0.747 2.987
Rh 1.861 4.202 4.753
```

Calculated values
The calculation puts the total energy at -56.96 eV per formula unit. As for the space group: No. 166. The polymorph energy (0 for the lowest one) comes out at 0.817 eV per atom. As for the energy of formation from the pure elements: 76.9 kJ per mole of atoms. Its crystal system is trigonal.

=====

Computed, not measured: an optimized crystal structure of LiYHf at the GGA-PBE level of DFT.

extended XYZ file:
```
6
Lattice="4.479 0.000 0.000 0.000 4.479 0.000 0.000 0.000 6.957" Properties=species:S:1:pos:R:3 pbc="T T T"
Y 0.000 0.000 3.479
Y 2.240 2.240 3.479
Li 2.240 0.000 5.350
Hf 0.000 2.240 6.061
Hf 2.240 0.000 0.896
Li 0.000 2.240 1.607
```

Calculated values
The calculation puts the total energy at -16.49 eV per formula unit. As for the space group: No. 129. The polymorph energy (0 for the lowest one) comes out at 0.517 eV per atom. As for the energy of formation from the pure elements: 59.4 kJ per mole of atoms. Its crystal system is tetragonal.